First-principles (PBE) data for crystalline Bi2Rh3S2 at its relaxed geometry, as listed in Alexandria.

Cell lengths 7.1804, 7.1804, 7.1804 Å; angles 109.47, 109.47, 109.47 degrees
With the nearest neighbours (Å) after each atom.
Fractional positions:
1 Bi 0.0000 0.0036 0.5000  6 Rh 2.88-2.97
2 Bi 0.0036 0.5000 0.0000  6 Rh 2.88-2.97
3 Bi 0.4964 0.4964 0.4964  6 Rh 2.88-2.97
4 Bi 0.5000 0.0000 0.0036  6 Rh 2.88-2.97
5 Rh 0.0059 0.2500 0.2559  2 S 2.32
6 Rh 0.2441 0.4941 0.7500  2 S 2.32
7 Rh 0.2500 0.2559 0.0059  2 S 2.32
8 Rh 0.2559 0.0059 0.2500  2 S 2.32
9 Rh 0.4941 0.7500 0.2441  2 S 2.32
10 Rh 0.7500 0.2441 0.4941  2 S 2.32
11 S 0.0000 0.5534 0.5000  3 Rh 2.32
12 S 0.5000 0.0000 0.5534  3 Rh 2.32
13 S 0.5534 0.5000 0.0000  3 Rh 2.32
14 S 0.9466 0.9466 0.9466  3 Rh 2.32

Calculated values
The value obtained for the total energy is -5.813 eV per atom.